# 1
LiMn2O4: relaxed, PBE with a Hubbard U.

extended XYZ file:
```
14
Lattice="5.8339 -0.0149 0.0029 -0.1277 5.8325 0.0029 2.7386 2.7921 4.4127" Properties=species:S:1:pos:R:3 pbc="T T T"
Li 1.3054 4.3123 2.2078
Li 2.9169 -0.0074 0.0015
Mn 4.2862 1.3886 2.2078
Mn 4.2224 4.3048 2.2093
Mn -0.0638 2.9163 0.0015
Mn 2.8531 2.9088 0.0029
O 7.0335 4.4304 4.3603
O 4.2657 4.2317 0.2561
O 2.9270 2.8669 1.9561
O 2.9242 5.7219 2.1539
O 5.5205 2.8878 2.2647
O 5.5177 5.7428 2.4625
O 4.1791 4.3780 4.1624
O 1.4112 4.1793 0.0583
```

Values from the calculation:
Distance to the lowest polymorph of the same formula = 49.1 meV per atom

# 2
Pm2MnMoO6: relaxed, PBE with a Hubbard U.

extended XYZ file:
```
10
Lattice="5.0630 0.0000 0.0000 0.0000 5.3841 0.0000 0.0000 0.0000 5.3841" Properties=species:S:1:pos:R:3 pbc="T T T"
Pm 0.0230 2.6920 0.0000
Pm 0.0230 0.0000 2.6920
Mn 2.8852 0.0000 0.0000
Mo 2.9477 2.6920 2.6920
O 3.7029 1.3650 1.3650
O 3.7029 1.3650 4.0191
O 0.9607 2.6920 2.6920
O 0.8627 0.0000 0.0000
O 3.7029 4.0191 4.0191
O 3.7029 4.0191 1.3650
```

no.,total DFT energy (no corrections) (eV for the cell shown)
1,-95.965
2,-77.080